## Ag6ClF7 (PBE-GGA)

Data for a geometry-optimized Ag6ClF7 structure.

Output
formation energy from raw total energies: -0.9596 eV/atom
space group: R3, No. 146

a b c (Å): 6.976 6.976 6.834
angles (deg): 59.31 59.31 60.00
Atoms (fractional coordinates):
Cl  0.997  0.997  0.009
Ag  0.275  0.901  0.229
Ag  0.595  0.275  0.229
F  0.501  0.975  0.311
Ag  0.062  0.401  0.765
F  0.717  0.464  0.692
Ag  0.901  0.595  0.229
Ag  0.773  0.062  0.765
F  0.464  0.127  0.692
F  0.635  0.635  0.094
Ag  0.401  0.773  0.765
F  0.214  0.501  0.311
F  0.975  0.214  0.311
F  0.127  0.717  0.692

## Ag2Cl4F (PBE-GGA)

Data for a geometry-optimized Ag2Cl4F structure.

Output
formation energy from raw total energies: -0.3367 eV/atom
space group: P1, No. 1

a b c (Å): 7.482 7.484 8.290
angles (deg): 107.34 112.16 104.61
Atoms (fractional coordinates):
Cl  0.431  0.573  0.268
Ag  0.628  0.885  0.277
F  0.093  0.642  0.285
Cl  0.882  0.190  0.306
Cl  0.408  0.094  0.297
F  0.894  0.942  0.785
Ag  0.159  0.384  0.784
Cl  0.366  0.173  0.806
Cl  0.872  0.707  0.284
Cl  0.826  0.161  0.783
Cl  0.453  0.639  0.797
Ag  0.650  0.375  0.284
Cl  0.945  0.586  0.768
Ag  0.642  0.398  0.777

## AgCl2F (PBE-GGA)

Data for a geometry-optimized AgCl2F structure.

Output
formation energy from raw total energies: -0.2601 eV/atom
space group: R-3m, No. 166
E above lowest polymorph: 9.1 kJ/mol of atoms

a b c (Å): 7.281 7.281 7.281
angles (deg): 32.21 32.21 32.21
Atoms (fractional coordinates):
Cl  0.901  0.901  0.901
F  0.000  0.000  0.000
Cl  0.099  0.099  0.099
Ag  0.500  0.500  0.500

## Ag4Cl5F2 (PBE-GGA)

Data for a geometry-optimized Ag4Cl5F2 structure.

Output
formation energy from raw total energies: -0.5576 eV/atom
space group: C2/m, No. 12

a b c (Å): 3.610 6.605 11.906
angles (deg): 97.31 98.72 90.00
Atoms (fractional coordinates):
Cl  0.176  0.356  0.353
Ag  0.329  0.392  0.657
Ag  0.037  0.772  0.073
Ag  0.671  0.608  0.343
Cl  0.824  0.644  0.647
F  0.562  0.611  0.124
F  0.438  0.389  0.876
Cl  0.500  0.000  0.000
Cl  0.827  0.134  0.654
Ag  0.963  0.228  0.927
Cl  0.173  0.866  0.346

## Ag5Cl2F2 (PBE-GGA)

Data for a geometry-optimized Ag5Cl2F2 structure.

Output
formation energy from raw total energies: -0.5557 eV/atom
space group: Ima2, No. 46
E above lowest polymorph: 2.6 kJ/mol of atoms

a b c (Å): 6.385 6.079 9.611
angles (deg): 108.43 109.40 90.00
Atoms (fractional coordinates):
F  0.439  0.470  0.500
Ag  0.786  0.757  0.668
Ag  0.800  0.793  0.149
Ag  0.214  0.089  0.332
Ag  0.200  0.644  0.851
F  0.500  0.486  0.000
Cl  0.465  0.903  0.801
Ag  0.151  0.144  0.851
F  0.561  0.970  0.500
Cl  0.535  0.102  0.199
Ag  0.382  0.257  0.668
F  0.000  0.986  0.000
Ag  0.618  0.589  0.332
Cl  0.164  0.602  0.199
Ag  0.087  0.590  0.500
Ag  0.849  0.293  0.149
Cl  0.836  0.403  0.801
Ag  0.913  0.090  0.500

## Ag5Cl12F3 (PBE-GGA)

Data for a geometry-optimized Ag5Cl12F3 structure.

Output
formation energy from raw total energies: -0.0639 eV/atom
space group: Ia-3d, No. 230

a b c (Å): 13.992 13.992 13.992
angles (deg): 109.47 109.47 109.47
Atoms (fractional coordinates):
F  0.375  0.750  0.625
Ag  0.375  0.250  0.125
Cl  0.338  0.349  0.493
Cl  0.838  0.993  0.849
Ag  0.125  0.375  0.250
Cl  0.493  0.645  0.656
Cl  0.145  0.489  0.651
Ag  0.625  0.750  0.875
Cl  0.156  0.162  0.011
Ag  0.750  0.625  0.375
F  0.125  0.250  0.875
Cl  0.162  0.007  0.151
Cl  0.349  0.011  0.855
Cl  0.844  0.007  0.355
Cl  0.849  0.355  0.511
F  0.750  0.375  0.125
Cl  0.662  0.651  0.507
Cl  0.651  0.662  0.007
F  0.125  0.875  0.750
Ag  0.750  0.125  0.875
Cl  0.355  0.507  0.844
Cl  0.489  0.344  0.838
Cl  0.656  0.511  0.662
Cl  0.662  0.011  0.656
Ag  0.125  0.750  0.375
Cl  0.993  0.838  0.349
Cl  0.849  0.493  0.838
F  0.750  0.875  0.625
Ag  0.500  0.500  0.500
Cl  0.151  0.645  0.489
Ag  0.500  0.000  0.500
F  0.375  0.625  0.250
F  0.875  0.750  0.125
Cl  0.645  0.151  0.989
Ag  0.000  0.500  0.500
Cl  0.993  0.156  0.145
Ag  0.500  0.500  0.000
Ag  0.500  0.000  0.000
Cl  0.007  0.162  0.651
Cl  0.989  0.338  0.844
Ag  0.375  0.125  0.750
Cl  0.651  0.989  0.145
Cl  0.511  0.656  0.162
Cl  0.855  0.511  0.349
Cl  0.355  0.849  0.011
Cl  0.493  0.849  0.338
Cl  0.507  0.151  0.662
Cl  0.156  0.993  0.645
Ag  0.875  0.625  0.750
Cl  0.511  0.855  0.849
Cl  0.989  0.651  0.645
Ag  0.000  0.000  0.000
Cl  0.489  0.145  0.151
Cl  0.507  0.355  0.344
Cl  0.656  0.145  0.493
Cl  0.145  0.656  0.993
F  0.250  0.625  0.875
Cl  0.011  0.349  0.355
Cl  0.011  0.662  0.156
Cl  0.855  0.344  0.007
Ag  0.250  0.875  0.125
Cl  0.151  0.507  0.162
F  0.250  0.125  0.375
Cl  0.344  0.489  0.338
Ag  0.875  0.250  0.625
F  0.625  0.250  0.375
Ag  0.000  0.000  0.500
F  0.625  0.375  0.750
Cl  0.344  0.855  0.507
Cl  0.349  0.338  0.993
Ag  0.000  0.500  0.000
Ag  0.250  0.375  0.625
Cl  0.007  0.844  0.855
Cl  0.844  0.838  0.989
Cl  0.645  0.493  0.156
Cl  0.162  0.156  0.511
F  0.875  0.125  0.250
Ag  0.625  0.875  0.250
Cl  0.338  0.989  0.344
Cl  0.838  0.844  0.489

## AgCl2F (PBE-GGA)

Data for a geometry-optimized AgCl2F structure.

Output
formation energy from raw total energies: -0.3544 eV/atom
space group: Pnma, No. 62
E above lowest polymorph: 0.0 kJ/mol of atoms

a b c (Å): 6.456 5.197 11.501
angles (deg): 90.00 90.00 90.00
Atoms (fractional coordinates):
F  0.221  0.928  0.750
Ag  0.000  0.363  0.250
Cl  0.738  0.865  0.595
Ag  0.500  0.863  0.250
Cl  0.762  0.365  0.905
F  0.721  0.572  0.250
Cl  0.262  0.135  0.095
F  0.779  0.072  0.250
Cl  0.738  0.865  0.905
Cl  0.238  0.635  0.405
Cl  0.762  0.365  0.595
Cl  0.262  0.135  0.405
F  0.279  0.428  0.750
Cl  0.238  0.635  0.095
Ag  0.000  0.637  0.750
Ag  0.500  0.137  0.750

## AgClF2 (PBE-GGA)

Data for a geometry-optimized AgClF2 structure.

Output
formation energy from raw total energies: -0.2236 eV/atom
space group: R-3m, No. 166
E above lowest polymorph: 55.6 kJ/mol of atoms

a b c (Å): 8.268 8.268 8.268
angles (deg): 21.94 21.94 21.94
Atoms (fractional coordinates):
Cl  0.500  0.500  0.500
Ag  0.000  0.000  0.000
F  0.918  0.918  0.918
F  0.082  0.082  0.082

## Ag2ClF3 (PBE-GGA)

Data for a geometry-optimized Ag2ClF3 structure.

Output
formation energy from raw total energies: -0.8905 eV/atom
space group: P-1, No. 2

a b c (Å): 4.594 6.911 10.574
angles (deg): 55.39 56.30 64.49
Atoms (fractional coordinates):
Ag  0.112  0.652  0.105
F  0.337  0.334  0.069
F  0.106  0.045  0.831
Cl  0.484  0.433  0.699
F  0.894  0.955  0.169
F  0.663  0.666  0.931
Ag  0.888  0.348  0.895
F  0.156  0.156  0.452
Ag  0.361  0.902  0.355
Ag  0.639  0.098  0.645
Cl  0.516  0.567  0.301
F  0.844  0.844  0.548

## AgCl2F6 (PBE-GGA)

Data for a geometry-optimized AgCl2F6 structure.

Output
formation energy from raw total energies: -0.6793 eV/atom
space group: C2/c, No. 15

a b c (Å): 6.510 7.729 7.729
angles (deg): 93.89 75.32 75.32
Atoms (fractional coordinates):
F  0.753  0.932  0.337
F  0.747  0.663  0.068
F  0.253  0.337  0.932
F  0.162  0.730  0.571
F  0.838  0.270  0.429
Ag  0.250  0.075  0.925
F  0.662  0.571  0.730
F  0.247  0.068  0.663
F  0.798  0.164  0.066
F  0.338  0.429  0.270
Cl  0.985  0.821  0.456
F  0.702  0.934  0.836
F  0.298  0.066  0.164
F  0.202  0.836  0.934
Cl  0.485  0.456  0.821
Ag  0.750  0.925  0.075
Cl  0.515  0.544  0.179
Cl  0.015  0.179  0.544

## AgClF3 (PBE-GGA)

Data for a geometry-optimized AgClF3 structure.

Output
formation energy from raw total energies: -0.5038 eV/atom
space group: Pm-3m, No. 221
E above lowest polymorph: 27.3 kJ/mol of atoms

a b c (Å): 4.277 4.277 4.277
angles (deg): 90.00 90.00 90.00
Atoms (fractional coordinates):
Cl  0.500  0.500  0.500
F  0.000  0.500  0.000
F  0.000  0.000  0.500
F  0.500  0.000  0.000
Ag  0.000  0.000  0.000

## Ag4Cl2F (PBE-GGA)

Data for a geometry-optimized Ag4Cl2F structure.

Output
formation energy from raw total energies: -0.2886 eV/atom
space group: I4/mmm, No. 139

a b c (Å): 4.859 4.859 7.494
angles (deg): 108.92 108.92 90.00
Atoms (fractional coordinates):
Ag  0.176  0.176  0.352
Ag  0.500  0.000  0.000
Cl  0.639  0.639  0.277
Cl  0.361  0.361  0.723
Ag  0.000  0.500  0.000
F  0.000  0.000  0.000
Ag  0.824  0.824  0.648

## AgCl2F (PBE-GGA)

Data for a geometry-optimized AgCl2F structure.

Output
formation energy from raw total energies: 0.0064 eV/atom
space group: Fm-3m, No. 225
E above lowest polymorph: 34.8 kJ/mol of atoms

a b c (Å): 4.560 4.560 4.560
angles (deg): 60.00 60.00 60.00
Atoms (fractional coordinates):
Ag  0.500  0.500  0.500
Cl  0.250  0.250  0.250
F  0.000  0.000  0.000
Cl  0.750  0.750  0.750

## AgCl3F12 (PBE-GGA)

Data for a geometry-optimized AgCl3F12 structure.

Output
formation energy from raw total energies: -0.7334 eV/atom
space group: P1, No. 1

a b c (Å): 10.817 10.766 8.422
angles (deg): 48.41 51.96 59.54
Atoms (fractional coordinates):
F  0.194  0.932  0.965
F  0.481  0.762  0.028
Ag  0.082  0.082  0.754
Cl  0.164  0.540  0.486
F  0.126  0.716  0.489
F  0.969  0.232  0.544
F  0.489  0.423  0.027
F  0.543  0.978  0.521
F  0.264  0.023  0.515
Cl  0.833  0.173  0.511
F  0.448  0.028  0.022
F  0.623  0.179  0.990
F  0.447  0.717  0.506
F  0.962  0.811  0.020
Cl  0.333  0.991  0.995
F  0.765  0.702  0.022
F  0.181  0.584  0.990
F  0.982  0.584  0.521
Cl  0.493  0.850  0.518
Cl  0.670  0.311  0.991
F  0.041  0.449  0.020
F  0.684  0.402  0.478
Cl  0.999  0.626  0.023
F  0.712  0.448  0.000
F  0.210  0.171  0.965
F  0.400  0.461  0.484
F  0.199  0.356  0.489
F  0.673  0.735  0.483
Ag  0.582  0.582  0.253
F  0.900  0.142  0.993
F  0.957  0.994  0.540
F  0.719  0.137  0.481

## Ag8ClF6 (PBE-GGA)

Data for a geometry-optimized Ag8ClF6 structure.

Output
formation energy from raw total energies: -0.7954 eV/atom
space group: R-3, No. 148

a b c (Å): 7.252 7.252 7.252
angles (deg): 57.44 57.44 57.44
Atoms (fractional coordinates):
Ag  0.324  0.324  0.324
Ag  0.869  0.340  0.151
Cl  0.000  0.000  0.000
F  0.370  0.900  0.485
F  0.630  0.100  0.515
F  0.900  0.485  0.370
Ag  0.660  0.849  0.131
Ag  0.676  0.676  0.676
Ag  0.340  0.151  0.869
Ag  0.849  0.131  0.660
Ag  0.151  0.869  0.340
F  0.485  0.370  0.900
F  0.100  0.515  0.630
F  0.515  0.630  0.100
Ag  0.131  0.660  0.849

## Ag2Cl3F (PBE-GGA)

Data for a geometry-optimized Ag2Cl3F structure.

Output
formation energy from raw total energies: -0.4108 eV/atom
space group: C2/m, No. 12
E above lowest polymorph: 9.7 kJ/mol of atoms

a b c (Å): 3.807 8.915 9.753
angles (deg): 91.11 101.26 90.00
Atoms (fractional coordinates):
Cl  0.556  0.459  0.112
Cl  0.064  0.850  0.129
Ag  0.682  0.399  0.364
F  0.363  0.819  0.726
Cl  0.936  0.150  0.871
Cl  0.282  0.341  0.563
F  0.637  0.181  0.274
Ag  0.062  0.126  0.124
Ag  0.938  0.874  0.876
Cl  0.718  0.659  0.437
Ag  0.318  0.601  0.636
Cl  0.444  0.541  0.888

## Ag3Cl3F2 (PBE-GGA)

Data for a geometry-optimized Ag3Cl3F2 structure.

Output
formation energy from raw total energies: -0.6666 eV/atom
space group: Cm, No. 8

a b c (Å): 4.991 6.789 12.086
angles (deg): 89.05 90.00 111.57
Atoms (fractional coordinates):
Ag  0.131  0.262  0.566
Ag  0.198  0.396  0.270
Cl  0.981  0.963  0.877
Cl  0.027  0.054  0.391
Cl  0.221  0.441  0.750
F  0.909  0.818  0.616
Ag  0.866  0.732  0.052
F  0.728  0.456  0.926
Ag  0.841  0.681  0.451
F  0.304  0.608  0.042
Cl  0.793  0.585  0.245
Cl  0.062  0.124  0.127
Ag  0.160  0.321  0.950
Cl  0.661  0.321  0.552
Ag  0.814  0.628  0.766
F  0.285  0.571  0.423